# 1
Below is a relaxed KTc3Os crystal, with properties calculated at the PBE level.

Calculated values
- Polymorph energy (0 for the lowest one): 1663 meV per atom

abc: 4.3752 4.3752 4.3752
angles: 90.00 90.00 90.00
Last column: nearest neighbours and their distance in Å.
Space group Pm-3m (No. 221)
Unique sites:
K (0.0000, 0.0000, 0.0000) (multiplicity 1)  6 Tc 2.19
Tc (0.0000, 0.0000, 0.5000) (multiplicity 3)  2 K 2.19
Os (0.5000, 0.5000, 0.5000) (multiplicity 1)  12 Tc 3.09



# 2
Below is a relaxed CeAgSN crystal, with properties calculated at the PBE level.

abc: 4.0104 4.0104 31.6490
angles: 90.00 90.00 120.00
Last column: nearest neighbours and their distance in Å.
Space group R-3m (No. 166, hexagonal axes)
Unique sites:
Ce (0.0000, 0.0000, 0.1224) (multiplicity 6)  4 N 2.24-2.38
Ag (0.0000, 0.0000, 0.3054) (multiplicity 6)  4 S 2.56-2.86
S (0.0000, 0.0000, 0.3958) (multiplicity 6)  4 Ag 2.56-2.86
N (0.0000, 0.0000, 0.1933) (multiplicity 6)  4 Ce 2.24-2.38



# 3
Below is a relaxed LuPuInIr crystal, with properties calculated at the PBE level.

abc: 7.1161 7.1161 7.1161
angles: 90.00 90.00 90.00
Last column: nearest neighbours and their distance in Å.
Space group F-43m (No. 216)
Unique sites:
Lu (0.0000, 0.0000, 0.0000) (multiplicity 4)  4 In 3.08, 4 Ir 3.08
Pu (0.0000, 0.0000, 0.5000) (multiplicity 4)  4 In 3.08, 4 Ir 3.08
In (0.2500, 0.2500, 0.2500) (multiplicity 4)  4 Pu 3.08, 4 Lu 3.08
Ir (0.2500, 0.2500, 0.7500) (multiplicity 4)  4 Pu 3.08, 4 Lu 3.08



Calculated E_tot in order - -26.90; -153.04; -127.38 eV/cell